Record 1
Entry from OQMD via LeMat-Bulk: an optimized crystal structure of Zr2FeSn (PBE).

Cell lengths 6.7110, 6.7110, 6.7110 Å; angles 90.00, 90.00, 90.00 degrees
Space group F-43m (No. 216)
Asymmetric unit:
Zr1 0.0000 0.0000 0.0000 x4
Zr2 0.2500 0.2500 0.2500 x4
Fe1 0.2500 0.2500 0.7500 x4
Sn1 0.0000 0.0000 0.5000 x4

Values from the calculation:
**Crystal system**: cubic
**Magnetization**: 7.762 Bohr magnetons per cell


Record 2
Entry from OQMD via LeMat-Bulk: an optimized crystal structure of TmHg2 (PBE).

Cell lengths 6.4397, 3.7300, 6.8733 Å; angles 90.00, 108.25, 90.00 degrees
Space group C2/m (No. 12)
Asymmetric unit:
Tm1 0.0000 0.0000 0.0000 x2
Hg1 0.2233 0.0000 0.6698 x4

Values from the calculation:
**Crystal system**: monoclinic
**Magnetization**: 0.003 Bohr magnetons per cell
**ΔE_f**: -239 meV per atom


Record 3
Entry from OQMD via LeMat-Bulk: an optimized crystal structure of LuAl7Au3 (PBE).

Cell lengths 8.0581, 8.0581, 21.0579 Å; angles 90.00, 90.00, 120.00 degrees
Space group R-3c (No. 167, hexagonal axes)
Asymmetric unit:
Lu1 0.0000 0.0000 0.0000 x6
Al1 0.0000 0.0000 0.2500 x6
Al2 0.0103 0.2068 0.1370 x36
Au1 0.0000 0.3261 0.2500 x18

Values from the calculation:
**Crystal system**: trigonal
**Magnetization**: 0.001 Bohr magnetons per cell


Record 4
Entry from OQMD via LeMat-Bulk: an optimized crystal structure of Y4ZnCuC2 (PBE).

Cell lengths 3.6432, 3.6432, 14.2887 Å; angles 90.00, 90.00, 120.00 degrees
Space group P-6m2 (No. 187)
Asymmetric unit:
Y1 0.0000 0.0000 0.1472 x2
Y2 0.6667 0.3333 0.3357 x2
Zn1 0.0000 0.0000 0.5000 x1
Cu1 0.6667 0.3333 0.0000 x1
C1 0.3333 0.6667 0.2412 x2

Values from the calculation:
**Crystal system**: hexagonal
**Magnetization**: 0.990 Bohr magnetons per cell


Record 5
Entry from OQMD via LeMat-Bulk: an optimized crystal structure of CdTePbO (PBE).

Cell lengths 4.6285, 4.6285, 10.3482 Å; angles 90.00, 90.00, 90.00 degrees
Space group P4/nmm (No. 129, origin choice 2)
Asymmetric unit:
Cd1 0.2500 0.2500 0.0171 x2
Te1 0.2500 0.2500 0.7123 x2
Pb1 0.2500 0.7500 0.5000 x2
O1 0.2500 0.7500 0.0000 x2

Values from the calculation:
**Crystal system**: tetragonal
**Offset from the most stable computed form**: 372 meV per atom


Record 6
Entry from OQMD via LeMat-Bulk: an optimized crystal structure of CsFeGeSe3 (PBE).

Cell lengths 8.6383, 3.6030, 11.0766 Å; angles 90.00, 102.56, 90.00 degrees
Space group P2_1/m (No. 11)
Asymmetric unit:
Cs1 0.0590 0.2500 0.2412 x2
Fe1 0.4670 0.7500 0.8962 x2
Ge1 0.4059 0.2500 0.5555 x2
Se1 0.2029 0.7500 0.5434 x2
Se2 0.2886 0.2500 0.9386 x2
Se3 0.4328 0.7500 0.2288 x2

Values from the calculation:
**Crystal system**: monoclinic
**Magnetization**: 6.365 Bohr magnetons per cell


Record 7
Entry from OQMD via LeMat-Bulk: an optimized crystal structure of Ba2Fe (PBE).

Cell lengths 7.5446, 7.5446, 4.7303 Å; angles 90.00, 90.00, 90.00 degrees
Space group P4_2/mnm (No. 136)
Asymmetric unit:
Ba1 0.2031 0.2031 0.0000 x4
Fe1 0.0000 0.0000 0.5000 x2

Values from the calculation:
**Crystal system**: tetragonal
**Magnetization**: 4.179 Bohr magnetons per cell


Record 8
Entry from OQMD via LeMat-Bulk: an optimized crystal structure of Gd2P2IrOsSe2 (PBE).

Cell lengths 4.0517, 4.0517, 9.3560 Å; angles 90.00, 90.00, 90.00 degrees
Space group P-4m2 (No. 115)
Asymmetric unit:
Gd1 0.0000 0.5000 0.2364 x2
P1 0.0000 0.5000 0.6387 x2
Ir1 0.5000 0.5000 0.5000 x1
Os1 0.0000 0.0000 0.5000 x1
Se1 0.0000 0.0000 0.0000 x1
Se2 0.5000 0.5000 0.0000 x1

Values from the calculation:
**Crystal system**: tetragonal
**Magnetization**: 0.002 Bohr magnetons per cell


| no. | electronic total energy (eV per atom) |
| --- | --- |
| 1 | -7.286 |
| 2 | -1.929 |
| 3 | -4.172 |
| 4 | -6.363 |
| 5 | -3.483 |
| 6 | -4.525 |
| 7 | -3.475 |
| 8 | -6.881 |